Li2LaTl: optimized geometry, GGA-PBE.

The structure belongs to space group P2/m (No. 10); the cell edges are 3.444, 5.289 and 5.852 Å and the angles 90.00°, 92.76° and 90.00°. The inequivalent atoms are Li at (0.119, 0.000, 0.269), La at (0.500, 0.500, 0.000) and Tl at (0.000, 0.500, 0.500).

Its formation enthalpy at 0 K is -0.106 eV/atom. The density of states at the Fermi level comes out at 2.94 states/eV per cell.